Record 1
# ZrTe2Au

Crystalline ZrTe2Au at its relaxed geometry (PBE-GGA, Alexandria via LeMat-Bulk).

Properties
The uncorrected formation energy comes out at -0.9 eV/f.u. As for the space group: No. 122. Its total DFT energy (no corrections) is -38.10 eV per cell.

```
ZrTe2Au
1.0
6.5886 0.0000 0.0000
0.0000 6.5886 0.0000
3.2943 3.2943 6.2026
Te Au Zr
4 2 2
direct
0.6306 0.1250 0.2500
0.1194 0.6250 0.2500
0.3750 0.3694 0.7500
0.8750 0.8806 0.7500
0.0000 0.0000 0.0000
0.7500 0.2500 0.5000
0.5000 0.5000 0.0000
0.2500 0.7500 0.5000
```

Record 2
# ZrTe3Au

Crystalline ZrTe3Au at its relaxed geometry (PBE-GGA, Alexandria via LeMat-Bulk).

Properties
The uncorrected formation energy comes out at -2.2 eV/f.u. As for the space group: No. 14. Its total DFT energy (no corrections) is -93.83 eV per cell.

```
ZrTe3Au
1.0
-2.4406 3.9473 3.3500
-5.4424 0.5023 -4.5568
-7.3345 -8.9999 7.7679
Zr Te Au
4 12 4
direct
0.8788 0.6256 0.2440
0.6212 0.1256 0.2560
0.1212 0.3744 0.7560
0.3788 0.8744 0.7440
0.1802 0.6639 0.5958
0.3198 0.1639 0.9042
0.8198 0.3361 0.4042
0.6802 0.8361 0.0958
0.8701 0.0137 0.7638
0.6299 0.5137 0.7362
0.1299 0.9863 0.2362
0.3701 0.4863 0.2638
0.6265 0.8273 0.4090
0.8735 0.3273 0.0910
0.3735 0.1727 0.5910
0.1265 0.6727 0.9090
0.3043 0.5758 0.0773
0.1957 0.0758 0.4227
0.6957 0.4242 0.9227
0.8043 0.9242 0.5773
```

Record 3
# ZrTe3Au

Crystalline ZrTe3Au at its relaxed geometry (PBE-GGA, Alexandria via LeMat-Bulk).

Properties
The uncorrected formation energy comes out at 2.5 eV/f.u. As for the space group: No. 221. Its total DFT energy (no corrections) is -18.71 eV per cell.

```
ZrTe3Au
1.0
5.3484 0.0000 0.0000
0.0000 5.3484 0.0000
0.0000 0.0000 5.3484
Te Au Zr
3 1 1
direct
0.0000 0.5000 0.0000
0.0000 0.0000 0.5000
0.5000 0.0000 0.0000
0.0000 0.0000 0.0000
0.5000 0.5000 0.5000
```